Entry 1:
# La8Tl2Ir

An optimized crystal structure of La8Tl2Ir (PBE-GGA, the Alexandria database).

The structure in CIF format:
```
data_La8Tl2Ir
_chemical_formula_sum 'La16 Tl4 Ir2'
_cell_length_a 18.667
_cell_length_b 5.650
_cell_length_c 7.053
_cell_angle_alpha 90.00
_cell_angle_beta 109.48
_cell_angle_gamma 90.00
_symmetry_space_group_name_H-M 'C 1 2/m 1'
_symmetry_Int_Tables_number 12
loop_
_symmetry_equiv_pos_as_xyz
'x,y,z'
'-x,-y,-z'
'-x,y,-z'
'x,-y,z'
'x+1/2,y+1/2,z'
'-x+1/2,-y+1/2,-z'
'-x+1/2,y+1/2,-z'
'x+1/2,-y+1/2,z'
loop_
_atom_site_label
_atom_site_type_symbol
_atom_site_fract_x
_atom_site_fract_y
_atom_site_fract_z
_atom_site_occupancy
La1 La 0.004 0.000 0.280 1
La2 La 0.093 0.500 0.908 1
La3 La 0.146 0.500 0.428 1
La4 La 0.210 0.000 0.747 1
Tl1 Tl 0.177 0.000 0.191 1
Ir1 Ir 0.000 0.500 0.500 1
```

Computed properties:
Its formation energy is -319 meV/atom. Its volume is 701 Å³/cell.

***

Entry 2:
# BaIn2Sb2

An optimized crystal structure of BaIn2Sb2 (PBE-GGA, the Alexandria database).

The structure in CIF format:
```
data_BaIn2Sb2
_chemical_formula_sum 'Ba2 In4 Sb4'
_cell_length_a 4.853
_cell_length_b 4.853
_cell_length_c 14.750
_cell_angle_alpha 90.00
_cell_angle_beta 90.00
_cell_angle_gamma 90.00
_symmetry_space_group_name_H-M 'I 4/m m m'
_symmetry_Int_Tables_number 139
_symmetry_space_group_name_Hall '-I 4 2'
loop_
_atom_site_label
_atom_site_type_symbol
_atom_site_fract_x
_atom_site_fract_y
_atom_site_fract_z
_atom_site_occupancy
Ba1 Ba 0.000 0.000 0.000 1
In1 In 0.000 0.500 0.250 1
Sb1 Sb 0.000 0.000 0.398 1
```

Computed properties:
The uncorrected formation energy comes out at -0.379 eV/atom. Its volume is 347 Å³/cell.

***

Entry 3:
# Cr4As

An optimized crystal structure of Cr4As (PBE-GGA, the Alexandria database).

The structure in CIF format:
```
data_Cr4As
_chemical_formula_sum 'Cr4 As1'
_cell_length_a 4.479
_cell_length_b 4.479
_cell_length_c 4.479
_cell_angle_alpha 90.00
_cell_angle_beta 90.00
_cell_angle_gamma 90.00
_symmetry_space_group_name_H-M 'P m -3 m'
_symmetry_Int_Tables_number 221
_symmetry_space_group_name_Hall '-P 4 2 3'
loop_
_atom_site_label
_atom_site_type_symbol
_atom_site_fract_x
_atom_site_fract_y
_atom_site_fract_z
_atom_site_occupancy
Cr1 Cr 0.000 0.000 0.000 1
Cr2 Cr 0.000 0.500 0.500 1
As1 As 0.500 0.500 0.500 1
```

Computed properties:
Its formation energy is 1290 meV/atom. For the energy relative to the lowest polymorph listed for this composition, the calculation gives 0.136 eV/atom. Its volume is 90 Å³/cell.

***

Entry 4:
# Mg5HgAu2

An optimized crystal structure of Mg5HgAu2 (PBE-GGA, the Alexandria database).

The structure in CIF format:
```
data_Mg5HgAu2
_chemical_formula_sum 'Mg10 Hg2 Au4'
_cell_length_a 6.074
_cell_length_b 11.354
_cell_length_c 4.584
_cell_angle_alpha 90.00
_cell_angle_beta 90.00
_cell_angle_gamma 90.00
_symmetry_space_group_name_H-M 'P b a m'
_symmetry_Int_Tables_number 55
loop_
_symmetry_equiv_pos_as_xyz
'x,y,z'
'-x,-y,-z'
'-x,-y,z'
'x,y,-z'
'x+1/2,-y+1/2,-z'
'-x+1/2,y+1/2,z'
'-x+1/2,y+1/2,-z'
'x+1/2,-y+1/2,z'
loop_
_atom_site_label
_atom_site_type_symbol
_atom_site_fract_x
_atom_site_fract_y
_atom_site_fract_z
_atom_site_occupancy
Mg1 Mg 0.000 0.000 0.000 1
Mg2 Mg 0.134 0.263 0.000 1
Mg3 Mg 0.170 0.613 0.500 1
Hg1 Hg 0.000 0.500 0.000 1
Au1 Au 0.126 0.857 0.500 1
```

Computed properties:
Its formation energy is -392 meV/atom. Its volume is 316 Å³/cell.

***

Entry 5:
# LiTaGaPt

An optimized crystal structure of LiTaGaPt (PBE-GGA, the Alexandria database).

The structure in CIF format:
```
data_LiTaGaPt
_chemical_formula_sum 'Li4 Ta4 Ga4 Pt4'
_cell_length_a 6.290
_cell_length_b 6.290
_cell_length_c 6.290
_cell_angle_alpha 90.00
_cell_angle_beta 90.00
_cell_angle_gamma 90.00
_symmetry_space_group_name_H-M 'F -4 3 m'
_symmetry_Int_Tables_number 216
_symmetry_space_group_name_Hall 'F -4 2 3'
loop_
_atom_site_label
_atom_site_type_symbol
_atom_site_fract_x
_atom_site_fract_y
_atom_site_fract_z
_atom_site_occupancy
Li1 Li 0.000 0.000 0.000 1
Ta1 Ta 0.000 0.000 0.500 1
Ga1 Ga 0.250 0.250 0.750 1
Pt1 Pt 0.250 0.250 0.250 1
```

Computed properties:
Its formation energy is -406 meV/atom. Its volume is 249 Å³/cell.

***

Entry 6:
# Zr3Co8Pt

An optimized crystal structure of Zr3Co8Pt (PBE-GGA, the Alexandria database).

The structure in CIF format:
```
data_Zr3Co8Pt
_chemical_formula_sum 'Zr9 Co24 Pt3'
_cell_length_a 4.8662
_cell_length_b 4.8662
_cell_length_c 23.8722
_cell_angle_alpha 90.00
_cell_angle_beta 90.00
_cell_angle_gamma 120.00
_symmetry_space_group_name_H-M 'R 3 m'
_symmetry_Int_Tables_number 160
_symmetry_space_group_name_Hall 'R 3 -2"'
loop_
_atom_site_label
_atom_site_type_symbol
_atom_site_fract_x
_atom_site_fract_y
_atom_site_fract_z
_atom_site_occupancy
Zr1 Zr 0.0000 0.0000 0.0000 1
Zr2 Zr 0.0000 0.0000 0.1298 1
Zr3 Zr 0.0000 0.0000 0.6149 1
Co1 Co 0.0000 0.0000 0.3111 1
Co2 Co 0.0000 0.0000 0.8110 1
Co3 Co 0.9999 0.5000 0.0612 1
Co4 Co 0.0033 0.5017 0.5612 1
Pt1 Pt 0.0000 0.0000 0.4947 1
```

Computed properties:
Its formation energy is -334 meV/atom. Its volume is 490 Å³/cell.

***

Entry 7:
# ZrTi2Zn

An optimized crystal structure of ZrTi2Zn (PBE-GGA, the Alexandria database).

The structure in CIF format:
```
data_ZrTi2Zn
_chemical_formula_sum 'Zr3 Ti6 Zn3'
_cell_length_a 3.0388
_cell_length_b 3.0388
_cell_length_c 27.8262
_cell_angle_alpha 90.00
_cell_angle_beta 90.00
_cell_angle_gamma 120.00
_symmetry_space_group_name_H-M 'R 3 m'
_symmetry_Int_Tables_number 160
_symmetry_space_group_name_Hall 'R 3 -2"'
loop_
_atom_site_label
_atom_site_type_symbol
_atom_site_fract_x
_atom_site_fract_y
_atom_site_fract_z
_atom_site_occupancy
Zr1 Zr 0.0000 0.0000 0.0000 1
Ti1 Ti 0.0000 0.0000 0.2455 1
Ti2 Ti 0.0000 0.0000 0.4207 1
Zn1 Zn 0.0000 0.0000 0.8332 1
```

Computed properties:
Its formation energy is 40 meV/atom. Its volume is 223 Å³/cell.

***

Entry 8:
# CaErInGa

An optimized crystal structure of CaErInGa (PBE-GGA, the Alexandria database).

The structure in CIF format:
```
data_CaErInGa
_chemical_formula_sum 'Ca4 Er4 In4 Ga4'
_cell_length_a 7.412
_cell_length_b 7.412
_cell_length_c 7.412
_cell_angle_alpha 90.00
_cell_angle_beta 90.00
_cell_angle_gamma 90.00
_symmetry_space_group_name_H-M 'F -4 3 m'
_symmetry_Int_Tables_number 216
_symmetry_space_group_name_Hall 'F -4 2 3'
loop_
_atom_site_label
_atom_site_type_symbol
_atom_site_fract_x
_atom_site_fract_y
_atom_site_fract_z
_atom_site_occupancy
Ca1 Ca 0.000 0.000 0.000 1
Er1 Er 0.000 0.000 0.500 1
In1 In 0.250 0.250 0.750 1
Ga1 Ga 0.250 0.250 0.250 1
```

Computed properties:
Its formation energy is -437 meV/atom. Its volume is 407 Å³/cell.

***

Entry 9:
# Ba2TlGa2

An optimized crystal structure of Ba2TlGa2 (PBE-GGA, the Alexandria database).

The structure in CIF format:
```
data_Ba2TlGa2
_chemical_formula_sum 'Ba4 Tl2 Ga4'
_cell_length_a 9.744
_cell_length_b 9.744
_cell_length_c 3.753
_cell_angle_alpha 90.00
_cell_angle_beta 90.00
_cell_angle_gamma 90.00
_symmetry_space_group_name_H-M 'P 4/m b m'
_symmetry_Int_Tables_number 127
_symmetry_space_group_name_Hall '-P 4 2ab'
loop_
_atom_site_label
_atom_site_type_symbol
_atom_site_fract_x
_atom_site_fract_y
_atom_site_fract_z
_atom_site_occupancy
Ba1 Ba 0.194 0.306 0.000 1
Tl1 Tl 0.000 0.000 0.000 1
Ga1 Ga 0.097 0.597 0.500 1
```

Computed properties:
Its formation energy is -140 meV/atom. For the energy relative to the lowest polymorph listed for this composition, the calculation gives 0.162 eV/atom. Its volume is 356 Å³/cell.

***

Entry 10:
# Li2HfBr

An optimized crystal structure of Li2HfBr (PBE-GGA, the Alexandria database).

The structure in CIF format:
```
data_Li2HfBr
_chemical_formula_sum 'Li8 Hf4 Br4'
_cell_length_a 7.681
_cell_length_b 7.681
_cell_length_c 5.384
_cell_angle_alpha 90.00
_cell_angle_beta 90.00
_cell_angle_gamma 90.00
_symmetry_space_group_name_H-M 'I -4 2 d'
_symmetry_Int_Tables_number 122
_symmetry_space_group_name_Hall 'I -4 2bw'
loop_
_atom_site_label
_atom_site_type_symbol
_atom_site_fract_x
_atom_site_fract_y
_atom_site_fract_z
_atom_site_occupancy
Li1 Li 0.196 0.250 0.125 1
Hf1 Hf 0.000 0.000 0.500 1
Br1 Br 0.000 0.000 0.000 1
```

Computed properties:
The uncorrected formation energy comes out at 0.111 eV/atom. Its volume is 318 Å³/cell.

***

Entry 11:
# CrTc2Rh

An optimized crystal structure of CrTc2Rh (PBE-GGA, the Alexandria database).

The structure in CIF format:
```
data_CrTc2Rh
_chemical_formula_sum 'Cr1 Tc2 Rh1'
_cell_length_a 2.647
_cell_length_b 3.966
_cell_length_c 5.338
_cell_angle_alpha 90.00
_cell_angle_beta 97.84
_cell_angle_gamma 90.00
_symmetry_space_group_name_H-M 'P 1 2/m 1'
_symmetry_Int_Tables_number 10
loop_
_symmetry_equiv_pos_as_xyz
'x,y,z'
'-x,-y,-z'
'-x,y,-z'
'x,-y,z'
loop_
_atom_site_label
_atom_site_type_symbol
_atom_site_fract_x
_atom_site_fract_y
_atom_site_fract_z
_atom_site_occupancy
Cr1 Cr 0.000 0.000 0.000 1
Tc1 Tc 0.411 0.500 0.240 1
Rh1 Rh 0.000 0.000 0.500 1
```

Computed properties:
Its formation energy is 74 meV/atom. For the energy relative to the lowest polymorph listed for this composition, the calculation gives 0.057 eV/atom. Its volume is 56 Å³/cell.

***

Entry 12:
# Ba2CrHSe

An optimized crystal structure of Ba2CrHSe (PBE-GGA, the Alexandria database).

The structure in CIF format:
```
data_Ba2CrHSe
_chemical_formula_sum 'Ba2 Cr1 H1 Se1'
_cell_length_a 5.827
_cell_length_b 5.827
_cell_length_c 4.542
_cell_angle_alpha 90.00
_cell_angle_beta 90.00
_cell_angle_gamma 90.00
_symmetry_space_group_name_H-M 'P 4/m m m'
_symmetry_Int_Tables_number 123
_symmetry_space_group_name_Hall '-P 4 2'
loop_
_atom_site_label
_atom_site_type_symbol
_atom_site_fract_x
_atom_site_fract_y
_atom_site_fract_z
_atom_site_occupancy
Ba1 Ba 0.000 0.500 0.000 1
Cr1 Cr 0.000 0.000 0.000 1
H1 H 0.500 0.500 0.500 1
Se1 Se 0.000 0.000 0.500 1
```

Computed properties:
Its volume is 154 Å³/cell.

***

Number 1: E_tot -113.043 eV per cell. Number 2: E_tot -35.084 eV per cell. Number 3: E_tot -36.695 eV per cell. Number 4: E_tot -35.929 eV per cell. Number 5: E_tot -97.826 eV per cell. Number 6: E_tot -277.631 eV per cell. Number 7: E_tot -76.354 eV per cell. Number 8: E_tot -56.317 eV per cell. Number 9: E_tot -25.934 eV per cell. Number 10: E_tot -60.042 eV per cell. Number 11: E_tot -37.410 eV per cell. Number 12: E_tot -20.001 eV per cell.